Entry 1:
PrZn7Cu5 after structural relaxation. Source: Alexandria via LeMat-Bulk, functional PBE-GGA.

Properties
formation enthalpy at 0 K	-17.0	kJ/mol of atoms
DOS at the Fermi energy	5.99	states/eV per cell
calculated total energy	-36.47	eV for the cell shown
space-group type	Cm

a b c (Å): 6.7132 6.7132 4.9252
angles (deg): 110.06 110.06 83.67
Fractional coordinates of all 13 atoms:
Pr: 0.0000 0.0000 0.0000
Zn: 0.2152 0.7763 0.4970
Zn: 0.3417 0.6371 0.9897
Zn: 0.3472 0.3472 0.3341
Zn: 0.6371 0.3417 0.9897
Zn: 0.6447 0.6447 0.6640
Zn: 0.7686 0.7686 0.2781
Zn: 0.7763 0.2152 0.4970
Cu: 0.2215 0.2215 0.7183
Cu: 0.4935 0.9936 0.9961
Cu: 0.4936 0.9947 0.4966
Cu: 0.9936 0.4935 0.9961
Cu: 0.9947 0.4936 0.4966

Entry 2:
Pr3Zn8Cu3 after structural relaxation. Source: Alexandria via LeMat-Bulk, functional PBE-GGA.

Properties
formation enthalpy at 0 K	-25.9	kJ/mol of atoms
DOS at the Fermi energy	7.61	states/eV per cell
calculated total energy	-40.58	eV for the cell shown
space-group type	Immm

a b c (Å): 8.2321 8.2321 8.2321
angles (deg): 148.62 114.43 74.49
Fractional coordinates of all 14 atoms:
Pr: 0.0000 0.0000 0.0000
Pr: 0.2990 0.2990 0.0000
Pr: 0.7010 0.7010 0.0000
Zn: 0.0147 0.6591 0.3556
Zn: 0.1643 0.8737 0.2906
Zn: 0.3036 0.6591 0.6444
Zn: 0.4169 0.1263 0.2906
Zn: 0.5831 0.8737 0.7094
Zn: 0.6964 0.3409 0.3556
Zn: 0.8357 0.1263 0.7094
Zn: 0.9853 0.3409 0.6444
Cu: 0.3126 0.5000 0.8126
Cu: 0.5000 0.0000 0.5000
Cu: 0.6874 0.5000 0.1874